[1]
Here is CaNd3Mg4 after structural relaxation from the Alexandria database. Energies are from PBE-GGA.

## Properties
Energy of formation   -0.10 eV per atom

a = 3.905 Å, b = 5.534 Å, c = 11.036 Å
α = 90.00°, β = 90.00°, γ = 90.00°
Element x y z (fractional)
Ca1 0.000 0.000 0.000
Nd1 0.000 0.000 0.500
Nd2 0.000 0.500 0.253
Nd3 0.000 0.500 0.747
Mg1 0.500 0.000 0.252
Mg2 0.500 0.000 0.748
Mg3 0.500 0.500 0.000
Mg4 0.500 0.500 0.500

[2]
Here is ScTi2Ga2 after structural relaxation from the Alexandria database. Energies are from PBE-GGA.

## Properties
Energy of formation   -0.34 eV per atom
Energy above the lowest structure with this stoichiometry   62 meV/atom

a = 6.651 Å, b = 6.651 Å, c = 6.651 Å
α = 145.87°, β = 145.87°, γ = 49.04°
Element x y z (fractional)
Sc1 0.000 0.000 0.000
Ti1 0.250 0.750 0.500
Ti2 0.750 0.250 0.500
Ga1 0.400 0.400 0.000
Ga2 0.600 0.600 0.000

[3]
Here is Pm4SiAs2Br after structural relaxation from the Alexandria database. Energies are from PBE-GGA.

## Properties
Uncorrected energy   -5.726 eV per atom

a = 7.332 Å, b = 4.244 Å, c = 7.368 Å
α = 90.00°, β = 109.06°, γ = 90.00°
Element x y z (fractional)
Pm1 0.235 0.000 0.230
Pm2 0.247 0.500 0.759
Pm3 0.753 0.500 0.241
Pm4 0.765 0.000 0.770
Si1 0.500 0.000 0.000
As1 0.000 0.000 0.500
As2 0.000 0.500 0.000
Br1 0.500 0.500 0.500

[4]
Here is LiNbHg after structural relaxation from the Alexandria database. Energies are from PBE-GGA.

## Properties
Energy of formation   0.00 eV per atom
Energy above the lowest structure with this stoichiometry   9 meV/atom

a = 7.628 Å, b = 7.628 Å, c = 4.387 Å
α = 90.00°, β = 90.00°, γ = 155.38°
Element x y z (fractional)
Li1 0.078 0.922 0.750
Li2 0.922 0.078 0.250
Nb1 0.247 0.753 0.250
Nb2 0.753 0.247 0.750
Hg1 0.421 0.579 0.750
Hg2 0.579 0.421 0.250

[5]
Here is CaHf2Be2 after structural relaxation from the Alexandria database. Energies are from PBE-GGA.

## Properties
Energy of formation   0.28 eV per atom
Energy above the lowest structure with this stoichiometry   0 meV/atom

a = 7.853 Å, b = 7.853 Å, c = 3.046 Å
α = 90.00°, β = 90.00°, γ = 90.00°
Element x y z (fractional)
Ca1 0.000 0.000 0.000
Ca2 0.500 0.500 0.000
Hf1 0.146 0.354 0.500
Hf2 0.354 0.854 0.500
Hf3 0.646 0.146 0.500
Hf4 0.854 0.646 0.500
Be1 0.152 0.652 0.000
Be2 0.348 0.152 0.000
Be3 0.652 0.848 0.000
Be4 0.848 0.348 0.000

[6]
Here is La2Cr after structural relaxation from the Alexandria database. Energies are from PBE-GGA.

## Properties
Energy of formation   0.48 eV per atom

a = 5.248 Å, b = 5.248 Å, c = 3.381 Å
α = 90.00°, β = 90.00°, γ = 90.00°
Element x y z (fractional)
La1 0.000 0.500 0.000
La2 0.500 0.000 0.000
Cr1 0.000 0.000 0.500